1.
The following is a PBEsol calculation of a relaxed ZrScFe4 crystal, from the Alexandria database.

Cell lengths 4.859, 4.859, 4.859 Å; angles 60.00, 60.00, 60.00 degrees
Fractional coordinates of all 6 atoms:
Zr (0.000, 0.000, 0.000)
Sc (0.750, 0.750, 0.750)
Fe (0.375, 0.375, 0.375)
Fe (0.375, 0.375, 0.875)
Fe (0.375, 0.875, 0.375)
Fe (0.875, 0.375, 0.375)

Calculated formation energy: -0.2971 eV per atom
SG: F-43m
Calculated density: 7362 kg/m3

***

2.
The following is a PBEsol calculation of a relaxed FeSe2 crystal, from the Alexandria database.

Cell lengths 5.685, 5.685, 5.685 Å; angles 90.00, 90.00, 90.00 degrees
Fractional coordinates of all 12 atoms:
Fe (0.000, 0.000, 0.000)
Fe (0.000, 0.500, 0.500)
Fe (0.500, 0.000, 0.500)
Fe (0.500, 0.500, 0.000)
Se (0.126, 0.626, 0.874)
Se (0.126, 0.874, 0.374)
Se (0.374, 0.126, 0.874)
Se (0.374, 0.374, 0.374)
Se (0.626, 0.626, 0.626)
Se (0.626, 0.874, 0.126)
Se (0.874, 0.126, 0.626)
Se (0.874, 0.374, 0.126)

SG: Pa-3
Calculated density: 7728 kg/m3
ΔE_f (raw): -0.44 eV per atom

***

3.
The following is a PBEsol calculation of a relaxed FeSe2 crystal, from the Alexandria database.

Cell lengths 5.493, 3.381, 11.198 Å; angles 90.00, 90.00, 90.00 degrees
Fractional coordinates of all 12 atoms:
Fe (0.197, 0.250, 0.002)
Fe (0.303, 0.750, 0.502)
Fe (0.697, 0.250, 0.498)
Fe (0.803, 0.750, 0.998)
Se (0.089, 0.250, 0.398)
Se (0.093, 0.750, 0.140)
Se (0.407, 0.250, 0.640)
Se (0.411, 0.750, 0.898)
Se (0.589, 0.250, 0.102)
Se (0.593, 0.750, 0.360)
Se (0.907, 0.250, 0.860)
Se (0.911, 0.750, 0.602)

SG: Pnma
Calculated density: 6827 kg/m3
ΔE_f (raw): -0.36 eV per atom

***

4.
The following is a PBEsol calculation of a relaxed FeSe8 crystal, from the Alexandria database.

Cell lengths 8.364, 8.364, 8.364 Å; angles 92.74, 92.74, 154.73 degrees
Fractional coordinates of all 9 atoms:
Fe (0.000, 0.000, 0.000)
Se (0.000, 0.198, 0.198)
Se (0.000, 0.802, 0.802)
Se (0.198, 0.000, 0.198)
Se (0.316, 0.316, 0.632)
Se (0.316, 0.684, 0.000)
Se (0.684, 0.316, 0.000)
Se (0.684, 0.684, 0.368)
Se (0.802, 0.000, 0.802)

SG: I4/mmm
Calculated density: 4685 kg/m3
ΔE_f (raw): 0.21 eV per atom

***

5.
The following is a PBEsol calculation of a relaxed Fe2Se3 crystal, from the Alexandria database.

Cell lengths 3.215, 3.215, 27.419 Å; angles 90.00, 90.00, 120.00 degrees
Fractional coordinates of all 15 atoms:
Fe (0.000, 0.000, 0.102)
Fe (0.000, 0.000, 0.898)
Fe (0.333, 0.667, 0.564)
Fe (0.333, 0.667, 0.769)
Fe (0.667, 0.333, 0.231)
Fe (0.667, 0.333, 0.436)
Se (0.000, 0.000, 0.281)
Se (0.000, 0.000, 0.500)
Se (0.000, 0.000, 0.719)
Se (0.333, 0.667, 0.167)
Se (0.333, 0.667, 0.386)
Se (0.333, 0.667, 0.948)
Se (0.667, 0.333, 0.052)
Se (0.667, 0.333, 0.614)
Se (0.667, 0.333, 0.833)

SG: R-3m
Calculated density: 7075 kg/m3
ΔE_f (raw): -0.14 eV per atom

***

6.
The following is a PBEsol calculation of a relaxed FeSe4 crystal, from the Alexandria database.

Cell lengths 7.935, 7.935, 3.205 Å; angles 90.00, 90.00, 90.00 degrees
Fractional coordinates of all 10 atoms:
Fe (0.000, 0.000, 0.000)
Fe (0.500, 0.500, 0.500)
Se (0.088, 0.784, 0.500)
Se (0.216, 0.088, 0.500)
Se (0.284, 0.412, 0.000)
Se (0.412, 0.716, 0.000)
Se (0.588, 0.284, 0.000)
Se (0.716, 0.588, 0.000)
Se (0.784, 0.912, 0.500)
Se (0.912, 0.216, 0.500)

SG: I4/m
Calculated density: 6118 kg/m3
ΔE_f (raw): 0.08 eV per atom

***

7.
The following is a PBEsol calculation of a relaxed FeSe2 crystal, from the Alexandria database.

Cell lengths 4.769, 4.769, 2.690 Å; angles 90.00, 90.00, 120.00 degrees
Fractional coordinates of all 3 atoms:
Fe (0.000, 0.000, 0.000)
Se (0.333, 0.667, 0.500)
Se (0.667, 0.333, 0.500)

SG: P6/mmm
Calculated density: 6700 kg/m3
ΔE_f (raw): 0.70 eV per atom

***

8.
The following is a PBEsol calculation of a relaxed FeSe2 crystal, from the Alexandria database.

Cell lengths 11.588, 3.274, 5.934 Å; angles 90.00, 106.75, 90.00 degrees
Fractional coordinates of all 12 atoms:
Fe (0.000, 0.000, 0.000)
Fe (0.077, 0.500, 0.414)
Fe (0.500, 0.500, 0.000)
Fe (0.577, 0.000, 0.414)
Se (0.124, 0.000, 0.719)
Se (0.186, 0.000, 0.277)
Se (0.387, 0.000, 0.792)
Se (0.424, 0.500, 0.312)
Se (0.624, 0.500, 0.719)
Se (0.686, 0.500, 0.277)
Se (0.887, 0.500, 0.792)
Se (0.924, 0.000, 0.312)

SG: Cm
Calculated density: 6586 kg/m3
ΔE_f (raw): -0.19 eV per atom

***

9.
The following is a PBEsol calculation of a relaxed FeSe2 crystal, from the Alexandria database.

Cell lengths 4.722, 5.687, 3.544 Å; angles 90.00, 90.00, 90.00 degrees
Fractional coordinates of all 6 atoms:
Fe (0.000, 0.000, 0.000)
Fe (0.500, 0.500, 0.500)
Se (0.219, 0.366, 0.000)
Se (0.281, 0.866, 0.500)
Se (0.719, 0.134, 0.500)
Se (0.781, 0.634, 0.000)

SG: Pnnm
Calculated density: 7461 kg/m3
ΔE_f (raw): -0.46 eV per atom

***

10.
The following is a PBEsol calculation of a relaxed Fe9Se8 crystal, from the Alexandria database.

Cell lengths 7.235, 7.235, 5.428 Å; angles 90.00, 90.00, 90.00 degrees
Fractional coordinates of all 17 atoms:
Fe (0.000, 0.000, 0.000)
Fe (0.000, 0.252, 0.699)
Fe (0.000, 0.748, 0.699)
Fe (0.249, 0.500, 0.695)
Fe (0.252, 0.000, 0.699)
Fe (0.500, 0.249, 0.695)
Fe (0.500, 0.751, 0.695)
Fe (0.748, 0.000, 0.699)
Fe (0.751, 0.500, 0.695)
Se (0.000, 0.000, 0.442)
Se (0.000, 0.500, 0.435)
Se (0.253, 0.253, 0.955)
Se (0.253, 0.747, 0.955)
Se (0.500, 0.000, 0.435)
Se (0.500, 0.500, 0.441)
Se (0.747, 0.253, 0.955)
Se (0.747, 0.747, 0.955)

SG: P4mm
Calculated density: 6629 kg/m3
ΔE_f (raw): -0.24 eV per atom

***

11.
The following is a PBEsol calculation of a relaxed Fe3SiSe crystal, from the Alexandria database.

Cell lengths 4.221, 4.221, 4.221 Å; angles 90.00, 90.00, 90.00 degrees
Fractional coordinates of all 5 atoms:
Fe (0.000, 0.000, 0.500)
Fe (0.000, 0.500, 0.000)
Fe (0.500, 0.000, 0.000)
Si (0.000, 0.000, 0.000)
Se (0.500, 0.500, 0.500)

SG: Pm-3m
Calculated density: 6061 kg/m3
ΔE_f (raw): 0.72 eV per atom

***

12.
The following is a PBEsol calculation of a relaxed FeSiSe crystal, from the Alexandria database.

Cell lengths 2.829, 2.829, 10.928 Å; angles 90.00, 90.00, 90.00 degrees
Fractional coordinates of all 6 atoms:
Fe (0.000, 0.000, 0.000)
Fe (0.500, 0.500, 0.500)
Si (0.000, 0.000, 0.367)
Si (0.500, 0.500, 0.867)
Se (0.000, 0.000, 0.628)
Se (0.500, 0.500, 0.128)

SG: I4mm
Calculated density: 6184 kg/m3
ΔE_f (raw): 0.07 eV per atom